No. 1
Here is a relaxed structure of BaZn2Co from Alexandria via LeMat-Bulk. Energies are from PBE.

SG = No. 139
E_form = 0.4295 eV/atom

Lattice parameters (Å, degrees): 5.333 5.333 5.333 128.77 128.77 75.38
Fractional positions:
Ba 0.000 0.000 0.000
Zn 0.250 0.750 0.500
Zn 0.750 0.250 0.500
Co 0.500 0.500 0.000

No. 2
Here is a relaxed structure of BaZn2Co from Alexandria via LeMat-Bulk. Energies are from PBE.

SG = No. 65
E_form = 0.6367 eV/atom

Lattice parameters (Å, degrees): 5.632 5.632 3.179 90.00 90.00 120.23
Fractional positions:
Ba 0.000 0.000 0.000
Zn 0.000 0.500 0.500
Zn 0.500 0.000 0.500
Co 0.500 0.500 0.000

No. 3
Here is a relaxed structure of BaZn2Co from Alexandria via LeMat-Bulk. Energies are from PBE.

SG = No. 71
E_form = 0.2799 eV/atom

Lattice parameters (Å, degrees): 5.460 5.460 5.460 137.47 116.02 79.89
Fractional positions:
Ba 0.000 0.000 0.000
Zn 0.326 0.826 0.500
Zn 0.674 0.174 0.500
Co 0.500 0.500 0.000